Entry 1:
Density functional theory data (PBE-GGA) for a relaxed NaLaCdTe3 crystal.

Computed properties:
**Total magnetic moment**: 0.001 μB/f.u.
**Polymorph energy (0 for the lowest one)**: 4.0 kJ/mol of atoms

Structure (POSCAR):
```
NaLaCdTe3
1.0
-0.098 -6.794 5.746
2.374 -2.563 -2.990
16.298 6.210 7.621
La Te Cd Na
4 12 4 4
direct
0.724 0.250 0.460 La
0.276 0.750 0.540 La
0.776 0.750 0.960 La
0.224 0.250 0.040 La
0.723 0.250 0.288 Te
0.371 0.250 0.430 Te
0.629 0.750 0.570 Te
0.277 0.750 0.712 Te
0.990 0.750 0.422 Te
0.777 0.750 0.788 Te
0.010 0.250 0.578 Te
0.490 0.750 0.078 Te
0.223 0.250 0.212 Te
0.871 0.250 0.070 Te
0.129 0.750 0.930 Te
0.510 0.250 0.922 Te
0.554 0.250 0.164 Cd
0.054 0.250 0.336 Cd
0.446 0.750 0.836 Cd
0.946 0.750 0.664 Cd
0.933 0.750 0.198 Na
0.433 0.750 0.302 Na
0.067 0.250 0.802 Na
0.567 0.250 0.698 Na
```

=====

Entry 2:
Density functional theory data (PBE-GGA) for a relaxed CsAgSnTe3 crystal.

Computed properties:
**Polymorph energy (0 for the lowest one)**: 0.0 kJ/mol of atoms

Structure (POSCAR):
```
CsAgSnTe3
1.0
14.159 0.000 0.000
0.000 4.501 0.000
0.000 0.000 13.914
Ag Te Cs Sn
4 12 4 4
direct
0.172 0.250 0.246 Ag
0.672 0.250 0.254 Ag
0.328 0.750 0.746 Ag
0.828 0.750 0.754 Ag
0.266 0.750 0.305 Te
0.984 0.750 0.874 Te
0.766 0.750 0.195 Te
0.234 0.250 0.805 Te
0.484 0.750 0.626 Te
0.503 0.750 0.928 Te
0.016 0.250 0.126 Te
0.003 0.750 0.572 Te
0.734 0.250 0.695 Te
0.497 0.250 0.072 Te
0.997 0.250 0.428 Te
0.516 0.250 0.374 Te
0.238 0.750 0.024 Cs
0.738 0.750 0.476 Cs
0.762 0.250 0.976 Cs
0.262 0.250 0.524 Cs
0.961 0.750 0.255 Sn
0.039 0.250 0.745 Sn
0.539 0.250 0.755 Sn
0.461 0.750 0.245 Sn
```